PBE LaTbSm2Ho, relaxed; E_form = 269 meV per atom; spin magnetization = 0.00 μB per formula unit; calculated volume = 35.732 Å³/atom; Fermi-level density of states = 1.868 states/eV/atom; E_tot = -4.45 eV per atom
1.0
-3.468 4.247 -1.373
0.739 -2.099 -8.359
-5.737 -4.484 0.623
La Tb Sm Ho
2 2 4 2
direct
0.000 0.000 0.000 La
0.000 0.000 0.500 La
0.500 0.000 0.250 Tb
0.500 0.000 0.750 Tb
0.500 0.678 0.000 Sm
0.500 0.322 0.500 Sm
0.500 0.678 0.500 Sm
0.500 0.322 0.000 Sm
0.000 0.500 0.750 Ho
0.000 0.500 0.250 Ho

---

PBE BaNbO3, relaxed; spin magnetization = 0.08 μB per formula unit; calculated volume = 19.088 Å³/atom; Fermi-level density of states = 3.151 states/eV/atom; E_tot = -4.95 eV per atom; ΔE_f (raw) = 426 meV per atom
1.0
4.570 0.000 0.000
0.000 4.570 0.000
0.000 0.000 4.570
Nb Ba O
1 1 3
direct
0.500 0.500 0.500 Nb
0.000 0.000 0.000 Ba
0.000 0.500 0.000 O
0.000 0.000 0.500 O
0.500 0.000 0.000 O

---

PBE Nd8Tm5Sc, relaxed; E_form = 180 meV per atom; spin magnetization = 0.00 μB per formula unit; calculated volume = 33.574 Å³/atom; Fermi-level density of states = 1.494 states/eV/atom; E_tot = -4.59 eV per atom
1.0
7.745 1.813 -3.661
-2.545 7.884 -3.610
-0.960 -1.813 8.512
Nd Tm Sc
8 5 1
direct
0.071 0.581 0.019 Nd
0.950 0.069 0.648 Nd
0.774 0.287 0.400 Nd
0.667 0.681 0.102 Nd
0.420 0.319 0.986 Nd
0.579 0.931 0.881 Nd
0.438 0.419 0.490 Nd
0.114 0.713 0.487 Nd
0.900 0.271 0.072 Tm
0.064 0.035 0.305 Tm
0.801 0.729 0.629 Tm
0.498 0.000 0.498 Tm
0.270 0.965 0.029 Tm
0.204 0.500 0.704 Sc

---

PBE ZnTe, relaxed; spin magnetization = 0.00 μB per formula unit; calculated volume = 31.107 Å³/atom; E_tot = -2.63 eV per atom; ΔE_f (raw) = -420 meV per atom
1.0
7.535 0.000 0.000
0.000 7.535 0.000
0.000 0.000 4.383
Zn Te
4 4
direct
0.827 0.173 0.000 Zn
0.327 0.327 0.500 Zn
0.673 0.673 0.500 Zn
0.173 0.827 0.000 Zn
0.814 0.814 0.000 Te
0.314 0.686 0.500 Te
0.686 0.314 0.500 Te
0.186 0.186 0.000 Te

---

PBE Ac2Zn6NiIr, relaxed; E_form = -273 meV per atom; spin magnetization = 0.00 μB per formula unit; calculated volume = 21.624 Å³/atom; Fermi-level density of states = 0.629 states/eV/atom; E_tot = -3.32 eV per atom
1.0
6.737 0.000 0.005
0.000 6.738 0.005
3.372 3.372 4.768
Ac Zn Ni Ir
2 6 1 1
direct
0.750 0.250 0.500 Ac
0.250 0.750 0.500 Ac
0.242 0.243 0.515 Zn
0.757 0.757 0.000 Zn
0.243 0.757 0.000 Zn
0.757 0.243 0.000 Zn
0.243 0.243 0.000 Zn
0.758 0.757 0.485 Zn
0.000 0.000 0.000 Ni
0.500 0.500 0.000 Ir

---

PBE Er4Sb3Se, relaxed; spin magnetization = 0.00 μB per formula unit; calculated volume = 27.813 Å³/atom; Fermi-level density of states = 0.345 states/eV/atom; E_tot = -5.52 eV per atom; ΔE_f (raw) = -1255 meV per atom
1.0
5.545 0.005 -2.458
-1.094 5.436 -2.458
-0.031 -0.038 7.414
Sb Se Er
3 1 4
direct
0.500 0.500 0.000 Sb
0.750 0.250 0.500 Sb
0.250 0.750 0.500 Sb
0.000 0.000 0.000 Se
0.000 0.500 0.000 Er
0.500 0.000 0.000 Er
0.246 0.246 0.491 Er
0.754 0.754 0.509 Er

---

PBE TbHo3Er, relaxed; E_form = 55 meV per atom; spin magnetization = 0.00 μB per formula unit; calculated volume = 31.439 Å³/atom; Fermi-level density of states = 1.418 states/eV/atom; E_tot = -4.53 eV per atom
1.0
3.504 0.311 -0.204
-0.885 8.489 -1.977
-0.841 -2.945 11.201
Tb Ho Er
2 6 2
direct
0.093 0.060 0.182 Tb
0.907 0.940 0.818 Tb
0.033 0.369 0.071 Ho
0.967 0.631 0.929 Ho
0.740 0.160 0.479 Ho
0.260 0.840 0.521 Ho
0.614 0.747 0.228 Ho
0.386 0.253 0.772 Ho
0.678 0.451 0.356 Er
0.322 0.549 0.644 Er

---

Q: What is the spin magnetization in the fourth record?
A: 0.00 μB per formula unit